[1]
The following is a DFT calculation (PBE) of a geometry-optimized CaTiZn structure.

crystal system = monoclinic
energy above the most stable polymorph in this dataset = 0.000 eV/atom
symmetry = Cm (8)

Cell lengths 5.918, 3.213, 7.985 Å; angles 78.37, 114.63, 105.76 degrees
Fractional coordinates of all 6 atoms:
Ca  0.343  0.195  0.571
Zn  0.722  0.183  0.974
Zn  0.879  0.884  0.731
Ti  0.289  0.491  0.926
Ca  0.718  0.504  0.327
Ti  0.137  0.807  0.140

[2]
The following is a DFT calculation (PBE) of a geometry-optimized Ca2ZrTiZn structure.

crystal system = tetragonal
symmetry = P4/mmm (123)

Cell lengths 5.869, 4.710, 5.869 Å; angles 90.00, 90.00, 90.00 degrees
Fractional coordinates of all 5 atoms:
Ti  0.000  0.500  0.000
Zr  0.000  0.000  0.000
Zn  0.500  0.500  0.500
Ca  0.000  0.000  0.500
Ca  0.500  0.000  0.000

[3]
The following is a DFT calculation (PBE) of a geometry-optimized CaZr3Ti structure.

crystal system = cubic
energy above the most stable polymorph in this dataset = 0.000 eV/atom
symmetry = Pm-3m (221)

Cell lengths 5.127, 5.127, 5.127 Å; angles 90.00, 90.00, 90.00 degrees
Fractional coordinates of all 5 atoms:
Zr  0.500  0.000  0.000
Ca  0.500  0.500  0.500
Zr  0.000  0.500  0.000
Ti  0.000  0.000  0.000
Zr  0.000  0.000  0.500

[4]
The following is a DFT calculation (PBE) of a geometry-optimized CaTl structure.

crystal system = orthorhombic
symmetry = P2_12_12_1 (19)

Cell lengths 7.254, 5.585, 12.255 Å; angles 90.00, 90.00, 90.00 degrees
Fractional coordinates of all 16 atoms:
Ca  0.091  0.243  0.511
Ca  0.339  0.291  0.784
Tl  0.368  0.205  0.260
Ca  0.409  0.757  0.011
Ca  0.661  0.791  0.716
Tl  0.656  0.247  0.970
Tl  0.156  0.253  0.030
Tl  0.132  0.795  0.760
Ca  0.591  0.257  0.489
Tl  0.868  0.295  0.740
Tl  0.844  0.753  0.470
Ca  0.909  0.743  0.989
Tl  0.632  0.705  0.240
Ca  0.839  0.209  0.216
Ca  0.161  0.709  0.284
Tl  0.344  0.747  0.530

no.,V (Å³/cell),energy of formation (kJ/mol of atoms)
1,132.1,9.5
2,162.2,92.6
3,134.8,60.4
4,496.5,-28.5